20
Lattice="4.9040 0.0000 0.0000 -0.8941 4.8506 0.0000 -2.2511 -2.2064 6.8900" Properties=species:S:1:pos:R:3 comment="Li5Fe3Ni2O10, single point on PBEsol structure, DFT meta-GGA SCAN" crystal_system=triclinic n_ef_per_ev_cell=6.5 vol_a3_per_atom=8.2 e_tot_ev_per_atom=-9.81 pbc="T T T"
Li 0.0000 0.0000 0.0000
Li -1.4718 0.3879 6.3290
Li 0.8493 1.7356 1.9172
Li 0.9095 0.9086 4.9729
Li 3.2306 2.2563 0.5610
Fe -1.5726 1.3221 3.4450
Fe -0.8299 3.9268 2.7361
Fe 2.5887 -1.2826 4.1539
Ni 0.1936 -1.7510 5.5690
Ni 1.5652 4.3952 1.3210
O -0.7993 0.5048 1.8455
O -0.7042 -0.2933 4.4140
O -0.0373 3.3589 1.1827
O 0.0371 2.5699 3.8050
O 1.7047 1.0409 0.3117
O 0.0542 1.6033 6.5783
O 1.7217 0.0744 3.0850
O 1.7961 -0.7146 5.7073
O 2.4630 2.9375 2.4760
O 2.5582 2.1394 5.0445